# Ca2TmSn9

A geometry-optimized Ca2TmSn9 structure (PBE-GGA, Alexandria).

Lattice parameters (Å, degrees): 4.743 4.743 14.190 90.00 90.00 90.00
Fractional coordinates of all 12 atoms:
Ca 0.000 0.000 0.169
Ca 0.000 0.000 0.831
Tm 0.000 0.000 0.500
Sn 0.000 0.500 0.000
Sn 0.000 0.500 0.337
Sn 0.000 0.500 0.663
Sn 0.500 0.000 0.000
Sn 0.500 0.000 0.337
Sn 0.500 0.000 0.663
Sn 0.500 0.500 0.168
Sn 0.500 0.500 0.500
Sn 0.500 0.500 0.832

Computed properties:
space-group type: P4/mmm
formation energy from the elements: -4.6 eV/f.u.
raw total energy: -4.095 eV/atom